Record 1
# Bi2Pb6S9

Crystalline Bi2Pb6S9 at its relaxed geometry (PBE, Alexandria).

Lattice parameters (Å, degrees): 4.138 13.862 32.234 90.00 90.00 90.00
Space group Cmcm (No. 63)
Asymmetric unit:
Bi 0.000 0.043 0.118 [8 per cell]
Pb 0.000 0.231 0.558 [8 per cell]
Pb 0.000 0.316 0.176 [8 per cell]
Pb 0.000 0.428 0.750 [4 per cell]
Pb 0.000 0.500 0.000 [4 per cell]
S 0.000 0.040 0.693 [8 per cell]
S 0.000 0.138 0.030 [8 per cell]
S 0.000 0.214 0.250 [4 per cell]
S 0.000 0.326 0.639 [8 per cell]
S 0.000 0.418 0.086 [8 per cell]

Calculated values
- DFT total energy: -4.43 eV/atom


Record 2
# MgTl3Hg5

Crystalline MgTl3Hg5 at its relaxed geometry (PBE, Alexandria).

Lattice parameters (Å, degrees): 9.3097 9.3097 6.6167 90.00 90.00 120.00
Space group P6_3/mcm (No. 193)
Asymmetric unit:
Mg 0.0000 0.0000 0.0000 [2 per cell]
Tl 0.0000 0.3879 0.2500 [6 per cell]
Hg 0.0000 0.2675 0.7500 [6 per cell]
Hg 0.3333 0.6667 0.0000 [4 per cell]

Calculated values
- DFT total energy: -1.16 eV/atom
- ΔH_f (0 K): -0.024 eV/atom


Record 3
# SrAg2Hg

Crystalline SrAg2Hg at its relaxed geometry (PBE, Alexandria).

Lattice parameters (Å, degrees): 4.957 4.957 19.794 90.00 90.00 90.00
Space group I-42d (No. 122)
Asymmetric unit:
Sr 0.000 0.000 0.000 [4 per cell]
Ag 0.114 0.250 0.625 [8 per cell]
Hg 0.000 0.000 0.500 [4 per cell]

Calculated values
- DFT total energy: -1.98 eV/atom
- ΔH_f (0 K): -0.062 eV/atom


What is the formula in the second record? MgTl3Hg5